[1]
Computed, not measured: a geometry-optimized MgScAg4 structure at the PBE level of DFT.

```
6
Lattice="1.635 -4.598 -2.571 3.057 -3.723 2.686 -2.183 -4.868 1.400" Properties=species:S:1:pos:R:3 pbc="T T T"
Mg 1.881 -9.892 1.137
Sc 0.000 0.000 0.000
Ag 1.757 -7.244 -0.715
Ag -0.149 -7.379 1.268
Ag 2.467 -6.807 1.910
Ag 0.941 -4.948 0.569
```

Summary:
**Fermi-level density of states**: 2.61 states/eV/f.u.
**Formation enthalpy at 0 K**: -0.66 eV per formula unit
**Volume**: 118.6 Å³/cell

[2]
Computed, not measured: a geometry-optimized Sc5Ta structure at the PBE level of DFT.

```
6
Lattice="-2.077 2.300 0.702 -7.003 -4.693 1.853 1.425 -0.202 4.874" Properties=species:S:1:pos:R:3 pbc="T T T"
Sc -2.151 2.228 0.721
Sc -6.080 -1.621 1.710
Sc -2.996 -0.767 0.844
Sc -6.743 -3.070 4.494
Sc -3.506 -2.067 3.589
Ta -2.675 0.915 3.470
```

Summary:
**Fermi-level density of states**: 8.97 states/eV/f.u.
**Formation enthalpy at 0 K**: 0.44 eV per formula unit
**Volume**: 137.0 Å³/cell

[3]
Computed, not measured: a geometry-optimized Sc3In3Hg2 structure at the PBE level of DFT.

```
8
Lattice="-0.741 -3.288 -0.340 4.702 -1.691 6.091 -7.618 1.591 1.227" Properties=species:S:1:pos:R:3 pbc="T T T"
Sc -1.504 -1.683 2.673
Sc 2.505 -2.678 3.554
Sc -5.029 -0.672 0.580
In -2.231 -0.077 5.601
In 1.104 -0.397 1.430
In -1.788 0.373 0.288
Hg -3.511 0.497 2.849
Hg 0.596 -0.597 4.470
```

Summary:
**Fermi-level density of states**: 4.87 states/eV/f.u.
**Formation enthalpy at 0 K**: -2.92 eV per formula unit
**Volume**: 182.1 Å³/cell

[4]
Computed, not measured: a geometry-optimized Pu3SnGe2 structure at the PBE level of DFT.

```
6
Lattice="3.291 0.000 0.000 0.000 3.291 0.000 0.000 0.000 12.882" Properties=species:S:1:pos:R:3 pbc="T T T"
Pu 0.000 0.000 0.000
Pu 0.000 0.000 8.818
Pu 0.000 0.000 4.064
Sn 1.645 1.645 6.441
Ge 1.645 1.645 10.824
Ge 1.645 1.645 2.058
```

Summary:
**Fermi-level density of states**: 17.12 states/eV/f.u.
**Formation enthalpy at 0 K**: -2.55 eV per formula unit
**Volume**: 139.5 Å³/cell